Density functional theory data (PBE) for a geometry-optimized K2RbCu structure.

Calculated values
Energy relative to the elements (eV/atom): 0.3524
Fermi-level density of states (states/eV/atom): 0.489
Total magnetization (μB per cell): 0.00
Offset from the most stable computed form (meV/atom): 63.3

a b c (Å): 9.0788 9.0788 9.0788
angles (deg): 90.00 90.00 90.00
Space group Fm-3m (No. 225)
Inequivalent atoms, fractional coordinates:
K  0.2500  0.2500  0.2500 (multiplicity 8)
Rb  0.0000  0.0000  0.0000 (multiplicity 4)
Cu  0.0000  0.0000  0.5000 (multiplicity 4)

=====

Density functional theory data (PBE) for a geometry-optimized K2LaNpTe4 structure.

Calculated values
Fermi-level density of states (states/eV/atom): 1.090
Total magnetization (μB per cell): 4.00
Energy relative to the elements, uncorrected (eV per formula unit): -9.49

a b c (Å): 8.0577 4.6514 8.6383
angles (deg): 90.00 108.20 90.00
Space group P2/m (No. 10)
Inequivalent atoms, fractional coordinates:
K  0.0000  0.0000  0.0000 (multiplicity 1)
K  0.5000  0.5000  0.0000 (multiplicity 1)
La  0.0000  0.5000  0.5000 (multiplicity 1)
Np  0.5000  0.0000  0.5000 (multiplicity 1)
Te  0.2443  0.0000  0.7156 (multiplicity 2)
Te  0.2701  0.5000  0.2893 (multiplicity 2)

=====

Density functional theory data (PBE) for a geometry-optimized Ac2SiNi2 structure.

Calculated values
Fermi-level density of states (states/eV/atom): 0.810
Total magnetization (μB per cell): 0.00
Energy relative to the elements, uncorrected (eV per formula unit): -2.30
Offset from the most stable computed form (meV/atom): 0.0

a b c (Å): 11.8734 4.1317 11.0397
angles (deg): 90.00 118.56 90.00
Space group C2/m (No. 12)
Inequivalent atoms, fractional coordinates:
Ac  0.0060  0.0000  0.3348 (multiplicity 4)
Ac  0.1810  0.0000  0.1041 (multiplicity 4)
Si  0.2281  0.5000  0.3453 (multiplicity 4)
Ni  0.0135  0.5000  0.1315 (multiplicity 4)
Ni  0.2090  0.5000  0.5479 (multiplicity 4)

=====

Density functional theory data (PBE) for a geometry-optimized CoTc structure.

Calculated values
Energy relative to the elements (eV/atom): -0.0473
Fermi-level density of states (states/eV/atom): 0.776
Total magnetization (μB per cell): 0.00
Offset from the most stable computed form (meV/atom): 0.0

a b c (Å): 4.1709 2.6018 4.5564
angles (deg): 90.00 90.00 90.00
Space group Pmma (No. 51)
Inequivalent atoms, fractional coordinates:
Co  0.2500  0.0000  0.1576 (multiplicity 2)
Tc  0.2500  0.5000  0.6741 (multiplicity 2)

=====

Density functional theory data (PBE) for a geometry-optimized YNiTe2I structure.

Calculated values
Fermi-level density of states (states/eV/atom): 0.575
Total magnetization (μB per cell): 0.00
Energy relative to the elements, uncorrected (eV per formula unit): -1.37
Offset from the most stable computed form (meV/atom): 0.0

a b c (Å): 5.1842 5.1842 5.1186
angles (deg): 90.00 90.00 90.00
Space group P4/mmm (No. 123)
Inequivalent atoms, fractional coordinates:
Y  0.0000  0.0000  0.0000 (multiplicity 1)
Ni  0.5000  0.5000  0.5000 (multiplicity 1)
Te  0.0000  0.5000  0.5000 (multiplicity 2)
I  0.5000  0.5000  0.0000 (multiplicity 1)

=====

Density functional theory data (PBE) for a geometry-optimized LiAlO2 structure.

Calculated values
Fermi-level density of states (states/eV/atom): 0.000
Total magnetization (μB per cell): 0.00
Energy relative to the elements, uncorrected (eV per formula unit): -10.89

a b c (Å): 4.4450 4.4450 8.3836
angles (deg): 90.00 90.00 90.00
Space group I-42d (No. 122)
Inequivalent atoms, fractional coordinates:
Li  0.0000  0.0000  0.0000 (multiplicity 4)
Al  0.0000  0.0000  0.5000 (multiplicity 4)
O  0.2068  0.2500  0.6250 (multiplicity 8)

=====

Density functional theory data (PBE) for a geometry-optimized NpPaSi4 structure.

Calculated values
Fermi-level density of states (states/eV/atom): 1.287
Total magnetization (μB per cell): 18.66
Energy relative to the elements, uncorrected (eV per formula unit): -1.72
Offset from the most stable computed form (meV/atom): 106.6

a b c (Å): 7.4001 7.4001 7.4001
angles (deg): 90.00 90.00 90.00
Space group F-43m (No. 216)
Inequivalent atoms, fractional coordinates:
Np  0.0000  0.0000  0.0000 (multiplicity 4)
Pa  0.2500  0.2500  0.2500 (multiplicity 4)
Si  0.1264  0.1264  0.6264 (multiplicity 16)

=====

Density functional theory data (PBE) for a geometry-optimized Sc5Ge2Pb2 structure.

Calculated values
Energy relative to the elements (eV/atom): -0.6610
Fermi-level density of states (states/eV/atom): 0.480
Total magnetization (μB per cell): 0.00

a b c (Å): 14.5774 7.5199 7.4395
angles (deg): 90.00 90.00 90.00
Space group Cmce (No. 64)
Inequivalent atoms, fractional coordinates:
Sc  0.0000  0.0000  0.0000 (multiplicity 4)
Sc  0.1226  0.1657  0.3339 (multiplicity 16)
Ge  0.0000  0.1389  0.6386 (multiplicity 8)
Pb  0.2134  0.0000  0.0000 (multiplicity 8)

=====

Density functional theory data (PBE) for a geometry-optimized Rb4Be2O structure.

Calculated values
Fermi-level density of states (states/eV/atom): 0.658
Total magnetization (μB per cell): 2.52
Energy relative to the elements, uncorrected (eV per formula unit): 2.68

a b c (Å): 5.6376 5.6376 17.9555
angles (deg): 90.00 90.00 90.00
Space group I4/mmm (No. 139)
Inequivalent atoms, fractional coordinates:
Rb  0.0000  0.0000  0.1524 (multiplicity 4)
Rb  0.0000  0.5000  0.0000 (multiplicity 4)
Be  0.0000  0.0000  0.3523 (multiplicity 4)
O  0.0000  0.0000  0.0000 (multiplicity 2)

=====

Density functional theory data (PBE) for a geometry-optimized Sr4Ru structure.

Calculated values
Energy relative to the elements (eV/atom): 0.3930
Fermi-level density of states (states/eV/atom): 1.229
Total magnetization (μB per cell): 0.00
Offset from the most stable computed form (meV/atom): 168.3

a b c (Å): 7.4579 7.4579 7.4579
angles (deg): 90.00 90.00 90.00
Space group Im-3m (No. 229)
Inequivalent atoms, fractional coordinates:
Sr  0.2500  0.2500  0.2500 (multiplicity 8)
Ru  0.0000  0.0000  0.0000 (multiplicity 2)

=====

Density functional theory data (PBE) for a geometry-optimized PmSmMg structure.

Calculated values
Energy relative to the elements (eV/atom): 0.1850
Fermi-level density of states (states/eV/atom): 1.342
Total magnetization (μB per cell): 0.00
Offset from the most stable computed form (meV/atom): 239.2

a b c (Å): 4.7507 4.7507 8.4232
angles (deg): 90.00 90.00 90.00
Space group P4/nmm (No. 129, origin choice 2)
Inequivalent atoms, fractional coordinates:
Pm  0.2500  0.2500  0.2031 (multiplicity 2)
Sm  0.2500  0.2500  0.7825 (multiplicity 2)
Mg  0.2500  0.7500  0.5000 (multiplicity 2)

=====

Density functional theory data (PBE) for a geometry-optimized Sm3Ho2Tl4 structure.

Calculated values
Energy relative to the elements (eV/atom): -0.1799
Fermi-level density of states (states/eV/atom): 0.686
Total magnetization (μB per cell): 0.00
Offset from the most stable computed form (meV/atom): 119.8

a b c (Å): 7.2870 15.5426 9.8330
angles (deg): 90.00 90.00 90.00
Space group Cmce (No. 64)
Inequivalent atoms, fractional coordinates:
Sm  0.0000  0.0000  0.0000 (multiplicity 4)
Sm  0.2500  0.2154  0.2500 (multiplicity 8)
Ho  0.0000  0.1056  0.5518 (multiplicity 8)
Tl  0.0000  0.1971  0.9755 (multiplicity 8)
Tl  0.2500  0.0074  0.2500 (multiplicity 8)

=====

Density functional theory data (PBE) for a geometry-optimized SrTc4Sb structure.

Calculated values
Fermi-level density of states (states/eV/atom): 1.170
Total magnetization (μB per cell): 0.00
Energy relative to the elements, uncorrected (eV per formula unit): 2.73

a b c (Å): 7.6268 7.6268 7.6268
angles (deg): 90.00 90.00 90.00
Space group F-43m (No. 216)
Inequivalent atoms, fractional coordinates:
Sr  0.0000  0.0000  0.0000 (multiplicity 4)
Tc  0.1232  0.1232  0.6232 (multiplicity 16)
Sb  0.2500  0.2500  0.2500 (multiplicity 4)

=====

Density functional theory data (PBE) for a geometry-optimized TlBSeBr2 structure.

Calculated values
Fermi-level density of states (states/eV/atom): 0.704
Total magnetization (μB per cell): 0.20
Energy relative to the elements, uncorrected (eV per formula unit): 4.98
Offset from the most stable computed form (meV/atom): 765.6

a b c (Å): 5.6307 5.6307 5.4348
angles (deg): 90.00 90.00 90.00
Space group P4/mmm (No. 123)
Inequivalent atoms, fractional coordinates:
Tl  0.0000  0.0000  0.0000 (multiplicity 1)
B  0.5000  0.5000  0.5000 (multiplicity 1)
Se  0.0000  0.0000  0.5000 (multiplicity 1)
Br  0.0000  0.5000  0.0000 (multiplicity 2)

=====

Density functional theory data (PBE) for a geometry-optimized TbCeGdSn structure.

Calculated values
Energy relative to the elements (eV/atom): -0.2063
Fermi-level density of states (states/eV/atom): 2.261
Total magnetization (μB per cell): 34.71

a b c (Å): 7.6378 7.6378 7.6378
angles (deg): 90.00 90.00 90.00
Space group F-43m (No. 216)
Inequivalent atoms, fractional coordinates:
Tb  0.0000  0.0000  0.0000 (multiplicity 4)
Ce  0.2500  0.2500  0.7500 (multiplicity 4)
Gd  0.0000  0.0000  0.5000 (multiplicity 4)
Sn  0.2500  0.2500  0.2500 (multiplicity 4)

=====

Density functional theory data (PBE) for a geometry-optimized La8TlOs3Br4 structure.

Calculated values
Fermi-level density of states (states/eV/atom): 0.401
Total magnetization (μB per cell): 0.00
Energy relative to the elements, uncorrected (eV per formula unit): -13.42

a b c (Å): 8.6218 8.6218 23.5121
angles (deg): 90.00 90.00 120.00
Space group R-3m (No. 166, hexagonal axes)
Inequivalent atoms, fractional coordinates:
La  0.0000  0.0000  0.2343 (multiplicity 6)
La  0.0287  0.5143  0.7679 (multiplicity 18)
Tl  0.0000  0.0000  0.5000 (multiplicity 3)
Os  0.0000  0.5000  0.5000 (multiplicity 9)
Br  0.0000  0.0000  0.0000 (multiplicity 3)
Br  0.0000  0.5000  0.0000 (multiplicity 9)

=====

Density functional theory data (PBE) for a geometry-optimized BaYAs3 structure.

Calculated values
Energy relative to the elements (eV/atom): -0.5373
Fermi-level density of states (states/eV/atom): 1.068
Total magnetization (μB per cell): 0.00
Offset from the most stable computed form (meV/atom): 0.0

a b c (Å): 5.4452 5.4452 5.4452
angles (deg): 90.00 90.00 90.00
Space group Pm-3m (No. 221)
Inequivalent atoms, fractional coordinates:
Ba  0.0000  0.0000  0.0000 (multiplicity 1)
Y  0.5000  0.5000  0.5000 (multiplicity 1)
As  0.0000  0.5000  0.5000 (multiplicity 3)

=====

Density functional theory data (PBE) for a geometry-optimized Ho3TmSb3 structure.

Calculated values
Fermi-level density of states (states/eV/atom): 0.933
Total magnetization (μB per cell): 0.00
Energy relative to the elements, uncorrected (eV per formula unit): -6.71
Offset from the most stable computed form (meV/atom): 0.0

a b c (Å): 9.1329 9.1329 9.1329
angles (deg): 90.00 90.00 90.00
Space group P2_13 (No. 198)
Inequivalent atoms, fractional coordinates:
Ho  0.0715  0.4285  0.5715 (multiplicity 4)
Ho  0.1768  0.8232  0.3232 (multiplicity 4)
Ho  0.1775  0.1775  0.1775 (multiplicity 4)
Tm  0.0732  0.5732  0.9268 (multiplicity 4)
Sb  0.0006  0.2516  0.8744 (multiplicity 12)

=====

Density functional theory data (PBE) for a geometry-optimized KAlMo2 structure.

Calculated values
Energy relative to the elements (eV/atom): 0.6338
Fermi-level density of states (states/eV/atom): 0.597
Total magnetization (μB per cell): 0.00

a b c (Å): 2.7233 2.7233 10.5014
angles (deg): 90.00 90.00 90.00
Space group P4mm (No. 99)
Inequivalent atoms, fractional coordinates:
K  0.0000  0.0000  0.0000 (multiplicity 1)
Al  0.5000  0.5000  0.7188 (multiplicity 1)
Mo  0.0000  0.0000  0.5206 (multiplicity 1)
Mo  0.5000  0.5000  0.3055 (multiplicity 1)

=====

Density functional theory data (PBE) for a geometry-optimized GdCuPb2 structure.

Calculated values
Energy relative to the elements (eV/atom): 0.2108
Fermi-level density of states (states/eV/atom): 1.079
Total magnetization (μB per cell): 22.31
Offset from the most stable computed form (meV/atom): 389.4

a b c (Å): 3.5019 3.5019 31.4181
angles (deg): 90.00 90.00 120.00
Space group R-3m (No. 166, hexagonal axes)
Inequivalent atoms, fractional coordinates:
Gd  0.0000  0.0000  0.0000 (multiplicity 3)
Cu  0.0000  0.0000  0.5000 (multiplicity 3)
Pb  0.0000  0.0000  0.1026 (multiplicity 6)